# Cs3Ca5Cl12 | Alexandria | GGA-PBE | relaxed
data_Cs3Ca5Cl12
_cell_length_a 18.0880
_cell_length_b 18.0880
_cell_length_c 18.0880
_cell_angle_alpha 90.00
_cell_angle_beta 90.00
_cell_angle_gamma 90.00
_space_group_name_H-M_alt 'I a -3 d'
_space_group_IT_number 230
_space_group_name_Hall '-I 4bd 2c 3'
loop_
_atom_site_label
_atom_site_fract_x
_atom_site_fract_y
_atom_site_fract_z
Cs1 0.0000 0.2500 0.1250
Ca1 0.0000 0.0000 0.0000
Ca2 0.0000 0.2500 0.3750
Cl1 0.0334 0.0461 0.6442
# formation energy from raw total energies = -2.14 eV per atom